Record 1
Density functional theory data (PBE) for crystalline Hf2ScSnO at its relaxed geometry.

Fermi-level density of states: 4.464 states/eV/f.u.
E_tot: -8.1809 eV/atom
raw formation energy: -110.09 kJ/mol of atoms

a = 4.350 Å, b = 4.350 Å, c = 4.767 Å
α = 90.00°, β = 90.00°, γ = 90.00°
Space group P4/mmm (No. 123)
Asymmetric unit:
Hf1 0.000 0.500 0.000 x2
Sc1 0.000 0.000 0.500 x1
Sn1 0.500 0.500 0.500 x1
O1 0.000 0.000 0.000 x1



Record 2
Density functional theory data (PBE) for crystalline HfScSnO6 at its relaxed geometry.

Fermi-level density of states: 7.014 states/eV/f.u.
E_tot: -8.1310 eV/atom
raw formation energy: -248.10 kJ/mol of atoms

a = 4.877 Å, b = 4.877 Å, c = 9.709 Å
α = 90.00°, β = 90.00°, γ = 90.00°
Space group P4_2nm (No. 102)
Asymmetric unit:
Hf1 0.000 0.000 0.000 x2
Sc1 0.000 0.000 0.331 x2
Sn1 0.000 0.000 0.665 x2
O1 0.194 0.194 0.832 x4
O2 0.197 0.197 0.161 x4
O3 0.197 0.197 0.501 x4



Record 3
Density functional theory data (PBE) for crystalline SrHfSc2O at its relaxed geometry.

Fermi-level density of states: 9.366 states/eV/f.u.
E_tot: -5.0416 eV/atom
raw formation energy: 78.12 kJ/mol of atoms

a = 5.736 Å, b = 5.736 Å, c = 4.214 Å
α = 90.00°, β = 90.00°, γ = 90.00°
Space group P4/mmm (No. 123)
Asymmetric unit:
Sr1 0.000 0.000 0.000 x1
Hf1 0.500 0.500 0.500 x1
Sc1 0.000 0.500 0.000 x2
O1 0.000 0.000 0.500 x1



Record 4
Density functional theory data (PBE) for crystalline Sr3Hf2ScO9 at its relaxed geometry.

Fermi-level density of states: 9.312 states/eV/f.u.
E_tot: -8.2313 eV/atom
raw formation energy: -305.94 kJ/mol of atoms

a = 5.8584 Å, b = 5.8584 Å, c = 7.1833 Å
α = 90.00°, β = 90.00°, γ = 120.00°
Space group P-3m1 (No. 164)
Asymmetric unit:
Sr1 0.0000 0.0000 0.0000 x1
Sr2 0.3333 0.6667 0.6581 x2
Hf1 0.3333 0.6667 0.1682 x2
Sc1 0.0000 0.0000 0.5000 x1
O1 0.0000 0.5000 0.0000 x3
O2 0.1678 0.3356 0.3323 x6



Which value of Fermi-level density of states does entry 1 give? 4.464 states/eV/f.u.